A plane-wave DFT calculation with meta-GGA SCAN was carried out for a crystal of YCr2P relaxed with PBEsol.

Calculated values
density = 6.2 Mg/m³
final energy = -73.6 eV/f.u.
formation energy = 135 kJ/mol of formula units
symmetry = C2/m, No. 12

Unit cell a=5.111 b=5.111 c=3.033 alpha=106.71 beta=106.71 gamma=115.78
Fractional coordinates of all 4 atoms:
Y: 0.000 0.000 0.000
Cr: 0.000 0.500 0.500
Cr: 0.500 0.000 0.500
P: 0.500 0.500 0.000